# BeIrOs3 (PBE, relaxed)
data_BeIrOs3
_cell_length_a 4.076
_cell_length_b 4.076
_cell_length_c 4.076
_cell_angle_alpha 90.00
_cell_angle_beta 90.00
_cell_angle_gamma 90.00
_space_group_name_H-M_alt 'P 1'
_space_group_IT_number 1
loop_
_space_group_symop_operation_xyz
'x,y,z'
loop_
_atom_site_label
_atom_site_type_symbol
_atom_site_fract_x
_atom_site_fract_y
_atom_site_fract_z
Be1 Be 0.000 0.000 0.000
Ir1 Ir 0.500 0.500 0.500
Os1 Os 0.000 0.000 0.500
Os2 Os 0.000 0.500 0.000
Os3 Os 0.500 0.000 0.000
# **DOS(E_F)**: 0.77 states/eV/atom
# **Energy of formation from the pure elements**: 67 kJ per mole of atoms
# **Relative energy among the computed polymorphs**: 0.00 kJ per mole of atoms
# **V**: 13.54 Å³/atom
# **Total energy**: -42.78 eV per cell